This record from the Alexandria database describes In2AgRh2 after structural relaxation. The functional is PBE.

Output
crystal system: tetragonal
E_tot: -4.449 eV/atom
calculated formation energy: 0.157 eV per atom

abc: 6.488 6.488 6.488
angles: 142.00 142.00 54.82
Fractional positions:
1 In 0.250 0.750 0.500
2 In 0.750 0.250 0.500
3 Ag 0.000 0.000 0.000
4 Rh 0.391 0.391 0.000
5 Rh 0.609 0.609 0.000